## SiBTe2N (GGA-PBE)

Data for an optimized crystal structure of SiBTe2N.

Values from the calculation:
Energy above the lowest structure with this stoichiometry, eV/f.u.: 0.00
Formation energy from raw total energies, meV/atom: 366.5
Total magnetization, μB per formula unit: 0.0

abc: 6.354 6.354 2.708
angles: 90.00 90.00 90.00
Atoms (fractional coordinates):
B (0.000, 0.000, 0.000)
N (0.000, 0.000, 0.500)
Te (0.000, 0.500, 0.000)
Te (0.500, 0.000, 0.000)
Si (0.500, 0.500, 0.500)

---

## MgTaSe2 (GGA-PBE)

Data for an optimized crystal structure of MgTaSe2.

Values from the calculation:
Formation energy from raw total energies, meV/atom: -306.4
Total magnetization, μB per formula unit: 0.0

abc: 7.085 7.085 7.085
angles: 151.58 139.09 50.56
Atoms (fractional coordinates):
Ta (0.750, 0.250, 0.500)
Mg (0.250, 0.750, 0.500)
Se (0.895, 0.895, 0.000)
Se (0.605, 0.605, 0.000)

---

## Mg2FeRe (GGA-PBE)

Data for an optimized crystal structure of Mg2FeRe.

Values from the calculation:
Energy above the lowest structure with this stoichiometry, eV/f.u.: 0.88
Total magnetization, μB per formula unit: 2.4
Energy of formation from the pure elements, eV per atom: 0.35

abc: 4.495 2.652 5.283
angles: 78.40 90.00 90.00
Atoms (fractional coordinates):
Mg (0.000, 0.540, 0.502)
Mg (0.000, 0.960, 0.998)
Fe (0.500, 0.750, 0.750)
Re (0.500, 0.250, 0.250)

---

## PrSm2HoTm4 (GGA-PBE)

Data for an optimized crystal structure of PrSm2HoTm4.

Values from the calculation:
Total magnetization, μB per formula unit: 2.1
Energy of formation from the pure elements, eV per atom: 0.43

abc: 9.480 9.479 11.764
angles: 128.34 128.36 88.52
Atoms (fractional coordinates):
Sm (0.500, 0.000, 0.500)
Sm (0.500, 0.500, 0.000)
Sm (0.000, 0.000, 0.500)
Sm (0.500, 0.000, 0.000)
Pr (0.000, 0.500, 0.000)
Pr (0.000, 0.500, 0.500)
Tm (0.751, 0.751, 0.504)
Tm (0.248, 0.753, 0.000)
Tm (0.749, 0.749, 0.996)
Tm (0.251, 0.251, 0.004)
Tm (0.747, 0.252, 0.500)
Tm (0.253, 0.748, 0.500)
Tm (0.249, 0.249, 0.496)
Tm (0.752, 0.247, 0.000)
Ho (0.500, 0.500, 0.500)
Ho (0.000, 0.000, 0.000)

---

## Pr4RuSeI2 (GGA-PBE)

Data for an optimized crystal structure of Pr4RuSeI2.

Values from the calculation:
Formation energy from raw total energies, meV/atom: -1020.8
Total magnetization, μB per formula unit: 0.0

abc: 4.191 7.756 8.271
angles: 106.05 90.00 90.00
Atoms (fractional coordinates):
Pr (0.000, 0.707, 0.188)
Pr (0.500, 0.749, 0.809)
Pr (0.500, 0.251, 0.191)
Pr (0.000, 0.293, 0.812)
Se (0.000, 0.000, 0.000)
Ru (0.500, 0.500, 0.000)
I (0.000, 0.500, 0.500)
I (0.500, 0.000, 0.500)

---

## MgCu2Au2 (GGA-PBE)

Data for an optimized crystal structure of MgCu2Au2.

Values from the calculation:
Energy above the lowest structure with this stoichiometry, eV/f.u.: 0.31
Total magnetization, μB per formula unit: 0.0
Energy of formation from the pure elements, eV per atom: -0.17

abc: 3.511 3.511 7.285
angles: 76.06 76.06 90.00
Atoms (fractional coordinates):
Cu (0.250, 0.750, 0.500)
Cu (0.750, 0.250, 0.500)
Au (0.603, 0.603, 0.794)
Au (0.397, 0.397, 0.206)
Mg (0.000, 0.000, 0.000)

---

What did the third record say?
## Mg2FeRe (GGA-PBE)

Data for an optimized crystal structure of Mg2FeRe.

Values from the calculation:
Energy above the lowest structure with this stoichiometry, eV/f.u.: 0.88
Total magnetization, μB per formula unit: 2.4
Energy of formation from the pure elements, eV per atom: 0.35

abc: 4.495 2.652 5.283
angles: 78.40 90.00 90.00
Atoms (fractional coordinates):
Mg (0.000, 0.540, 0.502)
Mg (0.000, 0.960, 0.998)
Fe (0.500, 0.750, 0.750)
Re (0.500, 0.250, 0.250)

---

Which formula does entry 3 have?
Mg2FeRe